Run a
Material: BeFeRu
Method: DFT, PBE
State: optimized geometry

Cell lengths 3.421, 3.421, 8.748 Å; angles 90.00, 90.00, 120.00 degrees
Element x y z (fractional)
Be 0.333 0.667 0.250
Be 0.667 0.333 0.750
Fe 0.000 0.000 0.250
Fe 0.000 0.000 0.750
Ru 0.000 0.000 0.000
Ru 0.000 0.000 0.500


Run b
Material: BeFeRu
Method: DFT, PBE
State: optimized geometry

Cell lengths 4.018, 4.018, 4.927 Å; angles 90.00, 90.00, 120.00 degrees
Element x y z (fractional)
Be 0.000 0.000 0.000
Be 0.000 0.000 0.500
Fe 0.333 0.667 0.250
Fe 0.667 0.333 0.750
Ru 0.333 0.667 0.750
Ru 0.667 0.333 0.250


Most stable: run b. Least stable: run a.


Run a
Material: BeFeRu
Method: DFT, PBE
State: optimized geometry

Cell lengths 3.758, 3.758, 3.758 Å; angles 60.00, 60.00, 60.00 degrees
Element x y z (fractional)
Be 0.000 0.000 0.000
Fe 0.750 0.750 0.750
Ru 0.500 0.500 0.500


Run b
Material: BeFeRu
Method: DFT, PBE
State: optimized geometry

Cell lengths 4.740, 4.011, 7.032 Å; angles 90.00, 90.00, 90.00 degrees
Element x y z (fractional)
Be 0.206 0.250 0.084
Be 0.294 0.750 0.584
Be 0.706 0.250 0.416
Be 0.794 0.750 0.916
Fe 0.018 0.250 0.763
Fe 0.482 0.750 0.263
Fe 0.518 0.250 0.737
Fe 0.982 0.750 0.237
Ru 0.203 0.250 0.418
Ru 0.297 0.750 0.918
Ru 0.703 0.250 0.082
Ru 0.797 0.750 0.582


Most stable: run b. Least stable: run a.


Run a
Material: BeFeRu
Method: DFT, PBE
State: optimized geometry

Cell lengths 4.496, 4.496, 4.496 Å; angles 120.39, 119.19, 90.37 degrees
Element x y z (fractional)
Be 0.500 0.000 0.000
Be 0.500 0.500 0.500
Fe 0.000 0.000 0.000
Fe 0.500 0.000 0.500
Ru 0.122 0.372 0.750
Ru 0.878 0.628 0.250


Run b
Material: BeFeRu
Method: DFT, PBE
State: optimized geometry

Cell lengths 4.797, 4.797, 5.391 Å; angles 106.62, 106.62, 32.81 degrees
Element x y z (fractional)
Be 0.005 0.005 0.222
Be 0.995 0.995 0.778
Fe 0.337 0.337 0.924
Fe 0.663 0.663 0.076
Ru 0.344 0.344 0.415
Ru 0.656 0.656 0.585


Most stable: run b. Least stable: run a.


Run a
Material: BeFeRu
Method: DFT, PBE
State: optimized geometry

Cell lengths 4.045, 4.045, 4.727 Å; angles 90.00, 90.00, 119.76 degrees
Element x y z (fractional)
Be 0.168 0.832 0.750
Be 0.832 0.168 0.250
Fe 0.500 0.500 0.000
Fe 0.500 0.500 0.500
Ru 0.166 0.834 0.250
Ru 0.834 0.166 0.750


Run b
Material: BeFeRu
Method: DFT, PBE
State: optimized geometry

Cell lengths 4.915, 4.023, 6.998 Å; angles 90.00, 90.00, 90.00 degrees
Element x y z (fractional)
Be 0.008 0.250 0.239
Be 0.492 0.750 0.739
Be 0.508 0.250 0.261
Be 0.992 0.750 0.761
Fe 0.248 0.250 0.936
Fe 0.252 0.750 0.436
Fe 0.748 0.250 0.564
Fe 0.752 0.750 0.064
Ru 0.218 0.250 0.604
Ru 0.282 0.750 0.104
Ru 0.718 0.250 0.896
Ru 0.782 0.750 0.396


Most stable: run a. Least stable: run b.


Run a
Material: Be3FeRu
Method: DFT, PBE
State: optimized geometry

Cell lengths 3.788, 3.788, 3.788 Å; angles 90.00, 90.00, 90.00 degrees
Element x y z (fractional)
Be 0.000 0.000 0.500
Be 0.000 0.500 0.000
Be 0.500 0.000 0.000
Fe 0.000 0.000 0.000
Ru 0.500 0.500 0.500


Run b
Material: Be3FeRu
Method: DFT, PBE
State: optimized geometry

Cell lengths 4.264, 4.188, 5.460 Å; angles 90.00, 99.66, 90.00 degrees
Element x y z (fractional)
Be 0.000 0.000 0.000
Be 0.000 0.500 0.000
Be 0.068 0.250 0.340
Be 0.224 0.250 0.733
Be 0.776 0.750 0.267
Be 0.932 0.750 0.660
Fe 0.481 0.750 0.878
Fe 0.519 0.250 0.122
Ru 0.311 0.750 0.394
Ru 0.689 0.250 0.606


Run c
Material: Be3FeRu
Method: DFT, PBE
State: optimized geometry

Cell lengths 4.074, 4.074, 4.074 Å; angles 90.00, 90.00, 90.00 degrees
Element x y z (fractional)
Be 0.000 0.000 0.500
Be 0.000 0.500 0.000
Be 0.500 0.000 0.000
Fe 0.500 0.500 0.500
Ru 0.000 0.000 0.000


Most stable: run b. Least stable: run c.


Run a
Material: Be2FeRu2
Method: DFT, PBE
State: optimized geometry

Cell lengths 6.403, 6.403, 2.807 Å; angles 90.00, 90.00, 90.00 degrees
Element x y z (fractional)
Be 0.157 0.343 0.000
Be 0.343 0.843 0.000
Be 0.657 0.157 0.000
Be 0.843 0.657 0.000
Fe 0.000 0.000 0.500
Fe 0.500 0.500 0.500
Ru 0.142 0.642 0.500
Ru 0.358 0.142 0.500
Ru 0.642 0.858 0.500
Ru 0.858 0.358 0.500


Run b
Material: Be2FeRu2
Method: DFT, PBE
State: optimized geometry

Cell lengths 6.053, 6.053, 2.996 Å; angles 90.00, 90.00, 90.00 degrees
Element x y z (fractional)
Be 0.123 0.377 0.000
Be 0.377 0.877 0.000
Be 0.623 0.123 0.000
Be 0.877 0.623 0.000
Fe 0.000 0.000 0.000
Fe 0.500 0.500 0.000
Ru 0.173 0.673 0.500
Ru 0.327 0.173 0.500
Ru 0.673 0.827 0.500
Ru 0.827 0.327 0.500


Most stable: run b. Least stable: run a.


Run a
Material: ScBe3Fe
Method: DFT, PBE
State: optimized geometry

Cell lengths 4.423, 4.423, 4.423 Å; angles 90.00, 90.00, 90.00 degrees
Element x y z (fractional)
Sc 0.000 0.000 0.000
Be 0.000 0.000 0.500
Be 0.000 0.500 0.000
Be 0.500 0.000 0.000
Fe 0.500 0.500 0.500


Run b
Material: ScBe3Fe
Method: DFT, PBE
State: optimized geometry

Cell lengths 3.976, 3.976, 3.976 Å; angles 90.00, 90.00, 90.00 degrees
Element x y z (fractional)
Sc 0.000 0.000 0.000
Be 0.000 0.500 0.500
Be 0.500 0.000 0.500
Be 0.500 0.500 0.000
Fe 0.500 0.500 0.500


Most stable: run b. Least stable: run a.


Run a
Material: BeFeSe3
Method: DFT, PBE
State: optimized geometry

Cell lengths 4.468, 4.468, 4.468 Å; angles 90.00, 90.00, 90.00 degrees
Element x y z (fractional)
Be 0.000 0.000 0.000
Fe 0.500 0.500 0.500
Se 0.000 0.000 0.500
Se 0.000 0.500 0.000
Se 0.500 0.000 0.000


Run b
Material: BeFeSe3
Method: DFT, PBE
State: optimized geometry

Cell lengths 4.722, 4.722, 4.722 Å; angles 90.00, 90.00, 90.00 degrees
Element x y z (fractional)
Be 0.000 0.000 0.000
Fe 0.500 0.500 0.500
Se 0.000 0.500 0.500
Se 0.500 0.000 0.500
Se 0.500 0.500 0.000


Most stable: run b. Least stable: run a.